# 1
First-principles (PBE) data for PrSnAu2 after structural relaxation, as listed in Alexandria via LeMat-Bulk.

POSCAR file:
```
PrSnAu2
1.0
4.2081 0.0000 0.0000
0.0000 4.7468 0.0000
0.0000 0.0000 4.7468
Pr Au Sn
1 2 1
Direct
0.5000 0.5000 0.5000 Pr
0.0000 0.0000 0.5000 Au
0.0000 0.5000 0.0000 Au
0.5000 0.0000 0.0000 Sn
```

symmetry = No. 123

***

# 2
First-principles (PBE) data for PrSn2Au3 after structural relaxation, as listed in Alexandria via LeMat-Bulk.

POSCAR file:
```
PrSn2Au3
1.0
4.6536 0.0000 -1.3675
-1.0668 6.8828 -3.6303
0.0492 0.1498 8.7694
Pr Sn Au
2 4 6
Direct
0.1380 0.1380 0.2761 Pr
0.8620 0.8620 0.7239 Pr
0.4999 0.1840 0.9998 Sn
0.5001 0.8160 0.0002 Sn
0.1763 0.6766 0.3527 Sn
0.8237 0.3234 0.6473 Sn
0.6862 0.4603 0.3724 Au
0.0002 0.3255 0.0005 Au
0.3139 0.0887 0.6277 Au
0.6861 0.9113 0.3723 Au
0.9998 0.6745 0.9995 Au
0.3138 0.5397 0.6276 Au
```

symmetry = No. 71

***

# 3
First-principles (PBE) data for Pr4SnAu7 after structural relaxation, as listed in Alexandria via LeMat-Bulk.

POSCAR file:
```
Pr4SnAu7
1.0
-4.4687 -2.2770 1.2727
1.9736 -7.1999 4.5668
-1.3154 1.0086 7.7044
Pr Sn Au
4 1 7
Direct
0.5590 0.2603 0.6218 Pr
0.4410 0.7397 0.3782 Pr
0.7329 0.7432 0.7909 Pr
0.2671 0.2568 0.2091 Pr
0.0000 0.0000 0.0000 Sn
0.8030 0.9996 0.3944 Au
0.1970 0.0004 0.6056 Au
0.0930 0.6378 0.1762 Au
0.9070 0.3622 0.8238 Au
0.3245 0.5500 0.8010 Au
0.5000 0.0000 0.0000 Au
0.6755 0.4500 0.1990 Au
```

symmetry = No. 12

***

# 4
First-principles (PBE) data for Pr5SnAu2 after structural relaxation, as listed in Alexandria via LeMat-Bulk.

POSCAR file:
```
Pr5SnAu2
1.0
-1.9680 1.1472 -8.0916
-3.4781 -7.6492 -0.2386
-3.2766 5.9217 6.0029
Pr Sn Au
10 2 4
Direct
0.5127 0.6978 0.7105 Pr
0.8022 0.9873 0.2895 Pr
0.0000 0.0000 0.0000 Pr
0.5000 0.5000 0.0000 Pr
0.1978 0.0127 0.7105 Pr
0.6978 0.1978 0.7105 Pr
0.0127 0.5127 0.7105 Pr
0.3022 0.8022 0.2895 Pr
0.9873 0.4873 0.2895 Pr
0.4873 0.3022 0.2895 Pr
0.7500 0.7500 0.5000 Sn
0.2500 0.2500 0.5000 Sn
0.1335 0.3665 0.0000 Au
0.6335 0.1335 0.0000 Au
0.3665 0.8665 0.0000 Au
0.8665 0.6335 0.0000 Au
```

symmetry = No. 140

***

# 5
First-principles (PBE) data for PrSn2Au9 after structural relaxation, as listed in Alexandria via LeMat-Bulk.

POSCAR file:
```
PrSn2Au9
1.0
5.6547 0.0000 0.0000
2.8274 4.8971 0.0000
2.8274 1.6324 9.2660
Pr Sn Au
1 2 9
Direct
0.0000 0.0000 0.0000 Pr
0.8511 0.8511 0.4466 Sn
0.1489 0.1489 0.5534 Sn
0.6668 0.6668 0.9997 Au
0.3332 0.3332 0.0003 Au
0.5000 0.5000 0.5000 Au
0.4146 0.4146 0.2522 Au
0.9186 0.4146 0.2522 Au
0.4146 0.9186 0.2522 Au
0.5854 0.5854 0.7478 Au
0.5854 0.0814 0.7478 Au
0.0814 0.5854 0.7478 Au
```

symmetry = No. 166

***

# 6
First-principles (PBE) data for Pr2Sn2Au15 after structural relaxation, as listed in Alexandria via LeMat-Bulk.

POSCAR file:
```
Pr2Sn2Au15
1.0
5.5468 -4.8933 -0.0168
5.5468 4.8933 -0.0168
1.2520 0.0000 7.2900
Pr Sn Au
2 2 15
Direct
0.3525 0.3525 0.3525 Pr
0.6475 0.6475 0.6475 Pr
0.1009 0.1009 0.1009 Sn
0.8991 0.8991 0.8991 Sn
0.0000 0.5000 0.0000 Au
0.0000 0.0000 0.5000 Au
0.5000 0.0000 0.0000 Au
0.6768 0.0000 0.3232 Au
0.3232 0.6768 0.0000 Au
0.0000 0.3232 0.6768 Au
0.6768 0.3232 0.0000 Au
0.0000 0.6768 0.3232 Au
0.3232 0.0000 0.6768 Au
0.6534 0.1690 0.6534 Au
0.6534 0.6534 0.1690 Au
0.1690 0.6534 0.6534 Au
0.3466 0.8310 0.3466 Au
0.3466 0.3466 0.8310 Au
0.8310 0.3466 0.3466 Au
```

symmetry = No. 166

***

no.,energy of formation (eV/atom),total DFT energy (no corrections) (eV per atom)
1,-0.57,-4.40
2,-0.50,-4.27
3,-0.62,-4.46
4,-0.61,-4.91
5,-0.21,-3.73
6,-0.29,-3.80